[1]
5
Lattice="4.8047 0.0000 0.0000 0.0027 4.8121 0.0000 0.1711 0.4470 7.3031" Properties=species:S:1:pos:R:3 comment="PBE Mg2Bi2Pb, relaxed" crystal_system=triclinic n_ef_per_ev_cell=2.901 de_polymorph_mev_per_atom=0 sg="P1 (1)" formation_enthalpy_0k_mev_per_atom=-91.9 pbc="T T T"
Mg 0.0000 0.0000 0.0000
Mg 2.5657 2.8820 7.2988
Bi 2.5821 0.4838 5.2357
Bi 4.7987 2.4064 1.6425
Pb 0.1578 2.8115 4.7401


[2]
4
Lattice="2.3373 1.3494 6.2032 -2.3373 1.3494 6.2032 0.0000 -2.6989 6.2032" Properties=species:S:1:pos:R:3 comment="PBE Mg2BiPb, relaxed" crystal_system=trigonal n_ef_per_ev_cell=1.845 de_polymorph_mev_per_atom=15 sg="R3m (160)" formation_enthalpy_0k_mev_per_atom=-62.0 pbc="T T T"
Mg 0.0000 0.0000 0.0000
Mg 0.0000 0.0000 3.2103
Bi 0.0000 0.0000 10.9515
Pb 0.0000 0.0000 7.7479


[3]
13
Lattice="4.8419 -8.0101 0.0000 4.8419 8.0101 0.0000 0.0000 0.0000 4.8192" Properties=species:S:1:pos:R:3 comment="PBE Mg8Bi2Pb3, relaxed" crystal_system=orthorhombic n_ef_per_ev_cell=5.337 sg="Cmmm (65)" formation_enthalpy_0k_mev_per_atom=-26.5 pbc="T T T"
Mg 2.3687 1.9881 2.4096
Mg 4.8419 6.0394 0.0000
Mg 2.3687 -1.9881 2.4096
Mg 4.8419 2.0696 0.0000
Mg 4.8419 -2.0696 0.0000
Mg 7.3150 1.9881 2.4096
Mg 4.8419 -6.0394 0.0000
Mg 7.3150 -1.9881 2.4096
Bi 4.8419 4.0642 2.4096
Bi 4.8419 -4.0642 2.4096
Pb 2.2982 0.0000 0.0000
Pb 4.8419 0.0000 2.4096
Pb 7.3855 0.0000 0.0000


[4]
8
Lattice="3.5368 0.0000 0.0000 0.0000 4.6128 0.0000 -0.0397 0.0000 14.6075" Properties=species:S:1:pos:R:3 comment="PBE MgBiPb2, relaxed" crystal_system=monoclinic n_ef_per_ev_cell=3.570 sg="P2_1/m (11)" formation_enthalpy_0k_mev_per_atom=-53.1 pbc="T T T"
Mg 0.8646 1.1532 6.4022
Mg 2.6325 3.4596 8.2053
Bi 0.8632 1.1532 9.4665
Bi 2.6339 3.4596 5.1410
Pb 0.8445 1.1532 13.6804
Pb 0.8869 1.1532 2.7643
Pb 2.6102 3.4596 11.8433
Pb 2.6526 3.4596 0.9271